CsCd2InSn2 | PBE | relaxed

Properties
E_tot ... -2.286 eV per atom
M_tot ... 0.000 μB/atom
ΔH_f (0 K) ... -27.6 kJ/mol of formula units

a = 5.0778 Å, b = 5.0778 Å, c = 9.0700 Å
α = 90.00°, β = 90.00°, γ = 120.00°
Space group P-3m1 (No. 164)
Inequivalent atoms, fractional coordinates:
Cs 0.0000 0.0000 0.0000 [1 per cell]
Cd 0.3333 0.6667 0.6634 [2 per cell]
In 0.0000 0.0000 0.5000 [1 per cell]
Sn 0.3333 0.6667 0.2973 [2 per cell]